! meta-GGA SCAN Eu2Al5Ag5, PBEsol geometry; values from VASP
! D(E_F)   17.610 states/eV per cell
! Crystal system   orthorhombic
! Energy of formation from the pure elements   -8.71 kcal/mol of atoms
&SYSTEM
  ibrav = 0, nat = 12, ntyp = 3
/
ATOMIC_SPECIES
Ag 107.87 Ag.upf
Eu 151.96 Eu.upf
Al 26.98 Al.upf
CELL_PARAMETERS angstrom
-4.030 0.031 -1.759
-1.656 -3.601 3.731
-2.503 7.229 5.866
ATOMIC_POSITIONS crystal
Ag 0.000 0.500 0.321
Ag 0.500 0.500 0.500
Eu 0.000 0.500 0.000
Al 0.500 0.000 0.000
Al 0.500 0.753 0.745
Ag 0.000 0.500 0.679
Al 0.500 0.247 0.255
Al 0.500 0.753 0.255
Eu 0.000 0.000 0.500
Ag 0.000 0.000 0.833
Al 0.500 0.247 0.745
Ag 0.000 0.000 0.167